Record 1
Entry from Alexandria via LeMat-Bulk: a relaxed structure of La6ThS8 (GGA-PBE).

Unit cell a=8.2926 b=8.2926 c=8.2926 alpha=60.00 beta=60.00 gamma=60.00
Positions (direct):
S  0.7500  0.7500  0.7500
S  0.7559  0.2441  0.7559
S  0.7559  0.7559  0.2441
S  0.2500  0.2500  0.2500
S  0.7559  0.2441  0.2441
S  0.2441  0.2441  0.7559
S  0.2441  0.7559  0.7559
S  0.2441  0.7559  0.2441
La  0.5000  0.5000  0.0000
La  0.0000  0.5000  0.0000
La  0.5000  0.0000  0.0000
La  0.0000  0.0000  0.5000
La  0.0000  0.5000  0.5000
La  0.5000  0.0000  0.5000
Th  0.0000  0.0000  0.0000

- ρ: 5.444 g cm⁻³
- Total moment: 0.00 μB per formula unit
- Space group: Fm-3m, No. 225
- E_form (uncorrected): -2104.6 meV per atom



Record 2
Entry from Alexandria via LeMat-Bulk: a relaxed structure of La3ThS4 (GGA-PBE).

Unit cell a=4.1221 b=7.1447 c=7.1447 alpha=109.51 beta=90.00 gamma=90.00
Positions (direct):
S  0.5000  0.7530  0.2470
S  0.5000  0.2470  0.7530
S  0.0000  0.7552  0.7552
S  0.0000  0.2448  0.2448
Th  0.5000  0.0000  0.0000
La  0.0000  0.0000  0.5000
La  0.5000  0.5000  0.5000
La  0.0000  0.5000  0.0000

- ρ: 6.505 g cm⁻³
- Total moment: 0.00 μB per formula unit
- Space group: Cmmm, No. 65
- E_form (uncorrected): -2081.9 meV per atom



Record 3
Entry from Alexandria via LeMat-Bulk: a relaxed structure of La5ThS6 (GGA-PBE).

Unit cell a=7.1698 b=7.1478 c=7.1640 alpha=60.07 beta=80.38 gamma=70.42
Positions (direct):
La  0.0000  0.3335  0.3330
La  0.0000  0.6665  0.6670
La  0.5000  0.5000  0.0000
La  0.5000  0.1690  0.6621
La  0.5000  0.8310  0.3379
S  0.7537  0.4104  0.6717
S  0.2488  0.2451  0.0000
S  0.7537  0.0820  0.3283
S  0.2463  0.5896  0.3283
S  0.2463  0.9180  0.6717
S  0.7512  0.7549  0.0000
Th  0.0000  0.0000  0.0000

- ρ: 6.198 g cm⁻³
- Total moment: 0.00 μB per formula unit
- Space group: C2/m, No. 12
- E_form (uncorrected): -2110.2 meV per atom



Record 4
Entry from Alexandria via LeMat-Bulk: a relaxed structure of La3Th4S8 (GGA-PBE).

Unit cell a=8.1296 b=8.1477 c=8.1477 alpha=90.08 beta=119.84 gamma=119.84
Positions (direct):
S  0.4992  0.2462  0.2462
S  0.9948  0.2509  0.2509
S  0.5008  0.7538  0.7538
S  0.5000  0.7520  0.2480
S  0.0052  0.7491  0.7491
S  0.0000  0.2513  0.7487
S  0.5000  0.2480  0.7520
S  0.0000  0.7487  0.2513
Th  0.0000  0.0000  0.5000
Th  0.0000  0.0000  0.0000
Th  0.5000  0.0000  0.0000
Th  0.0000  0.5000  0.0000
La  0.5000  0.0000  0.5000
La  0.5000  0.5000  0.5000
La  0.5000  0.5000  0.0000

- ρ: 6.939 g cm⁻³
- Total moment: 0.00 μB per formula unit
- Space group: C2/m, No. 12
- E_form (uncorrected): -1975.7 meV per atom